Computed, not measured: Cr2SiHg at its PBEsol-relaxed geometry at the SCAN level of DFT.

abc: 2.810 2.810 7.031
angles: 90.00 90.00 90.00
Atoms (fractional coordinates):
Cr: 0.000 0.000 0.206
Cr: 0.000 0.000 0.794
Si: 0.500 0.500 0.000
Hg: 0.500 0.500 0.500

Calculated values
Symmetry: No. 123
DOS(E_F): 2.83 states/eV/f.u.
E: -28.59 eV per atom
Formation energy without anion corrections: 0.15 eV per atom



Computed, not measured: KNiPH2O5 at its PBEsol-relaxed geometry at the SCAN level of DFT.

abc: 5.503 8.183 4.659
angles: 90.00 90.00 90.00
Atoms (fractional coordinates):
K: 0.000 0.050 0.000
K: 0.500 0.950 0.500
Ni: 0.000 0.483 0.864
Ni: 0.500 0.517 0.364
P: 0.000 0.710 0.442
P: 0.500 0.290 0.942
H: 0.144 0.314 0.442
H: 0.356 0.686 0.942
H: 0.644 0.686 0.942
H: 0.856 0.314 0.442
O: 0.000 0.295 0.568
O: 0.000 0.682 0.116
O: 0.000 0.893 0.506
O: 0.225 0.623 0.590
O: 0.275 0.377 0.090
O: 0.500 0.107 0.006
O: 0.500 0.318 0.616
O: 0.500 0.705 0.068
O: 0.725 0.377 0.090
O: 0.775 0.623 0.590

Calculated values
Symmetry: No. 31
DOS(E_F): 0.00 states/eV/f.u.
E: -9.19 eV per atom



Computed, not measured: RbHSeO4 at its PBEsol-relaxed geometry at the SCAN level of DFT.

abc: 4.559 7.557 12.929
angles: 90.00 90.00 90.00
Atoms (fractional coordinates):
Rb: 0.182 0.048 0.378
Rb: 0.318 0.952 0.878
Rb: 0.682 0.452 0.622
Rb: 0.818 0.548 0.122
H: 0.237 0.831 0.615
H: 0.263 0.169 0.115
H: 0.737 0.669 0.385
H: 0.763 0.331 0.885
Se: 0.229 0.462 0.875
Se: 0.271 0.538 0.375
Se: 0.729 0.038 0.125
Se: 0.771 0.962 0.625
O: 0.008 0.675 0.332
O: 0.035 0.822 0.572
O: 0.085 0.573 0.779
O: 0.157 0.414 0.471
O: 0.343 0.586 0.971
O: 0.415 0.427 0.279
O: 0.465 0.178 0.072
O: 0.492 0.325 0.832
O: 0.508 0.825 0.668
O: 0.535 0.678 0.428
O: 0.585 0.927 0.221
O: 0.657 0.086 0.529
O: 0.843 0.914 0.029
O: 0.915 0.073 0.721
O: 0.965 0.322 0.928
O: 0.992 0.175 0.168

Calculated values
Symmetry: No. 19
DOS(E_F): 0.00 states/eV/f.u.
E: -11.10 eV per atom



Computed, not measured: DyGeRh at its PBEsol-relaxed geometry at the SCAN level of DFT.

abc: 6.843 4.269 7.418
angles: 90.00 90.00 90.00
Atoms (fractional coordinates):
Dy: 0.000 0.250 0.194
Dy: 0.000 0.750 0.806
Dy: 0.500 0.250 0.306
Dy: 0.500 0.750 0.694
Ge: 0.210 0.250 0.606
Ge: 0.290 0.750 0.106
Ge: 0.710 0.250 0.894
Ge: 0.790 0.750 0.394
Rh: 0.156 0.750 0.432
Rh: 0.344 0.250 0.932
Rh: 0.656 0.750 0.068
Rh: 0.844 0.250 0.568

Calculated values
Symmetry: No. 62
DFT formation energy: -1.140 eV/atom
DOS(E_F): 1.29 states/eV/f.u.
E: -34.69 eV per atom